This record from the Alexandria database describes an optimized crystal structure of LiMn2Al. The functional is PBE-GGA.

calculated formation energy	0.201	eV/atom
symmetry	No. 166

a = 8.9624 Å, b = 8.9624 Å, c = 8.9624 Å
α = 16.76°, β = 16.76°, γ = 16.76°
Last column: nearest neighbours and their distance in Å.
Fractional coordinates of all 4 atoms:
Mn  0.9958  0.9958  0.9958  3 Al 2.58, 6 Mn 2.61, 3 Li 2.77
Mn  0.5042  0.5042  0.5042  3 Al 2.58, 6 Mn 2.61, 3 Li 2.77
Li  0.7500  0.7500  0.7500  6 Li 2.61, 6 Mn 2.77
Al  0.2500  0.2500  0.2500  6 Mn 2.58, 6 Al 2.61

This record from the Alexandria database describes an optimized crystal structure of Mg2FeCu2. The functional is PBE-GGA.

calculated formation energy	0.150	eV/atom
symmetry	No. 127

a = 6.2663 Å, b = 6.2663 Å, c = 4.0200 Å
α = 90.00°, β = 90.00°, γ = 90.00°
Last column: nearest neighbours and their distance in Å.
Fractional coordinates of all 10 atoms:
Mg  0.1758  0.6758  0.5000  6 Cu 2.63-2.80
Mg  0.8242  0.3242  0.5000  6 Cu 2.63-2.80
Mg  0.6758  0.8242  0.5000  6 Cu 2.63-2.80
Mg  0.3242  0.1758  0.5000  6 Cu 2.63-2.80
Fe  0.0000  0.0000  0.0000  4 Cu 2.45
Fe  0.5000  0.5000  0.0000  4 Cu 2.45
Cu  0.8667  0.6333  0.0000  1 Cu 2.36, 2 Fe 2.45, 2 Mg 2.63
Cu  0.3667  0.8667  0.0000  1 Cu 2.36, 2 Fe 2.45, 2 Mg 2.63
Cu  0.6333  0.1333  0.0000  1 Cu 2.36, 2 Fe 2.45, 2 Mg 2.63
Cu  0.1333  0.3667  0.0000  1 Cu 2.36, 2 Fe 2.45, 2 Mg 2.63

This record from the Alexandria database describes an optimized crystal structure of VTcSeN2. The functional is PBE-GGA.

excess energy over the best structure of this formula in the dataset	0.070	eV/atom
raw formation energy	764	meV/atom
symmetry	No. 123

a = 3.8110 Å, b = 3.8110 Å, c = 5.3163 Å
α = 90.00°, β = 90.00°, γ = 90.00°
Last column: nearest neighbours and their distance in Å.
Fractional coordinates of all 5 atoms:
Tc  0.0000  0.0000  0.0000  4 N 1.91
Se  0.0000  0.0000  0.5000  2 Tc 2.66, 4 V 2.69
V  0.5000  0.5000  0.5000  4 Se 2.69
N  0.5000  0.0000  0.0000  2 Tc 1.91
N  0.0000  0.5000  0.0000  2 Tc 1.91

This record from the Alexandria database describes an optimized crystal structure of Dy2HoInN. The functional is PBE-GGA.

raw formation energy	-1002	meV/atom
symmetry	No. 123

a = 4.7927 Å, b = 4.8199 Å, c = 4.8199 Å
α = 90.00°, β = 90.00°, γ = 90.00°
Last column: nearest neighbours and their distance in Å.
Fractional coordinates of all 5 atoms:
Ho  0.5000  0.0000  0.0000  2 N 2.40
Dy  0.0000  0.0000  0.5000  2 N 2.41
Dy  0.0000  0.5000  0.0000  2 N 2.41
In  0.5000  0.5000  0.5000  8 Dy 3.40, 4 Ho 3.41
N  0.0000  0.0000  0.0000  2 Ho 2.40, 4 Dy 2.41

This record from the Alexandria database describes an optimized crystal structure of TaPRu2. The functional is PBE-GGA.

calculated formation energy	-0.025	eV/atom
symmetry	No. 160

a = 8.5697 Å, b = 8.5697 Å, c = 8.5697 Å
α = 19.05°, β = 19.05°, γ = 19.05°
Last column: nearest neighbours and their distance in Å.
Fractional coordinates of all 4 atoms:
Ta  0.5043  0.5043  0.5043  3 P 2.69, 3 Ru 2.79, 6 Ta 2.84
Ru  0.9921  0.9921  0.9921  3 P 2.41
Ru  0.7480  0.7480  0.7480  9 Ru 2.78-2.84, 3 Ta 2.79
P  0.2556  0.2556  0.2556  3 Ru 2.41, 3 Ta 2.69

This record from the Alexandria database describes an optimized crystal structure of VCrSiAu. The functional is PBE-GGA.

excess energy over the best structure of this formula in the dataset	0.087	eV/atom
raw formation energy	27	meV/atom
symmetry	No. 99

a = 3.1468 Å, b = 3.1468 Å, c = 5.8109 Å
α = 90.00°, β = 90.00°, γ = 90.00°
Last column: nearest neighbours and their distance in Å.
Fractional coordinates of all 4 atoms:
Si  0.0000  0.0000  0.0325  1 Cr 2.49, 4 V 2.58, 4 Au 2.73
V  0.5000  0.5000  0.8071  4 Cr 2.52, 4 Si 2.58
Cr  0.0000  0.0000  0.6034  1 Si 2.49, 4 V 2.52
Au  0.5000  0.5000  0.3062  4 Si 2.73, 4 Cr 2.82, 2 V 2.90-2.91

This record from the Alexandria database describes an optimized crystal structure of LaMnMo2. The functional is PBE-GGA.

excess energy over the best structure of this formula in the dataset	0.288	eV/atom
calculated formation energy	0.602	eV/atom
symmetry	No. 160

a = 9.4484 Å, b = 9.4484 Å, c = 9.4484 Å
α = 18.98°, β = 18.98°, γ = 18.98°
Last column: nearest neighbours and their distance in Å.
Fractional coordinates of all 4 atoms:
Mo  0.2640  0.2640  0.2640  3 Mo 2.60
Mo  0.9981  0.9981  0.9981  3 Mo 2.60, 3 Mn 2.68
Mn  0.7362  0.7362  0.7362  3 Mo 2.68
La  0.5017  0.5017  0.5017  6 La 3.12, 3 Mo 3.21, 3 Mn 3.29

This record from the Alexandria database describes an optimized crystal structure of Be4AlRh5. The functional is PBE-GGA.

calculated formation energy	-0.711	eV/atom
symmetry	No. 123

a = 2.8350 Å, b = 2.8350 Å, c = 14.1529 Å
α = 90.00°, β = 90.00°, γ = 90.00°
Last column: nearest neighbours and their distance in Å.
Fractional coordinates of all 10 atoms:
Be  0.0000  0.0000  0.4029  8 Rh 2.43-2.44
Be  0.0000  0.0000  0.5971  8 Rh 2.43-2.44
Be  0.0000  0.0000  0.2103  8 Rh 2.41-2.45
Be  0.0000  0.0000  0.7897  8 Rh 2.41-2.45
Rh  0.5000  0.5000  0.6948  8 Be 2.41-2.44
Rh  0.5000  0.5000  0.1103  4 Be 2.45, 4 Al 2.54
Rh  0.5000  0.5000  0.5000  8 Be 2.43
Rh  0.5000  0.5000  0.8897  4 Be 2.45, 4 Al 2.54
Rh  0.5000  0.5000  0.3052  8 Be 2.41-2.44
Al  0.0000  0.0000  0.0000  8 Rh 2.54, 4 Al 2.84

This record from the Alexandria database describes an optimized crystal structure of PuTl2HgBi2. The functional is PBE-GGA.

calculated formation energy	-0.079	eV/atom
symmetry	No. 51

a = 4.7654 Å, b = 5.0884 Å, c = 14.7765 Å
α = 90.00°, β = 90.00°, γ = 90.00°
Last column: nearest neighbours and their distance in Å.
Fractional coordinates of all 12 atoms:
Bi  0.5000  0.7577  0.7391  2 Pu 3.34, 4 Tl 3.44-3.54, 4 Bi 3.49, 2 Hg 3.56
Bi  0.5000  0.2577  0.2609  2 Pu 3.34, 4 Tl 3.44-3.54, 4 Bi 3.49, 2 Hg 3.56
Bi  0.0000  0.7577  0.2697  2 Hg 3.35, 2 Pu 3.37, 4 Bi 3.49, 4 Tl 3.52-3.65
Bi  0.0000  0.2577  0.7303  2 Hg 3.35, 2 Pu 3.37, 4 Bi 3.49, 4 Tl 3.52-3.65
Hg  0.5000  0.7575  0.4293  6 Pu 3.27-3.49, 2 Hg 3.29, 4 Bi 3.35-3.56
Hg  0.5000  0.2575  0.5707  6 Pu 3.27-3.49, 2 Hg 3.29, 4 Bi 3.35-3.56
Pu  0.0000  0.7576  0.5805  6 Hg 3.27-3.49, 4 Bi 3.34-3.37, 2 Pu 3.48
Pu  0.0000  0.2576  0.4195  6 Hg 3.27-3.49, 4 Bi 3.34-3.37, 2 Pu 3.48
Tl  0.5000  0.2576  0.9060  8 Tl 3.49-3.77, 4 Bi 3.52-3.54
Tl  0.0000  0.7576  0.9070  4 Bi 3.44-3.65, 8 Tl 3.49-3.75
Tl  0.0000  0.2576  0.0930  4 Bi 3.44-3.65, 8 Tl 3.49-3.75
Tl  0.5000  0.7576  0.0940  8 Tl 3.49-3.77, 4 Bi 3.52-3.54

This record from the Alexandria database describes an optimized crystal structure of TaAsI3. The functional is PBE-GGA.

excess energy over the best structure of this formula in the dataset	0.612	eV/atom
raw formation energy	1231	meV/atom
symmetry	No. 221

a = 5.6502 Å, b = 5.6502 Å, c = 5.6502 Å
α = 90.00°, β = 90.00°, γ = 90.00°
Last column: nearest neighbours and their distance in Å.
Fractional coordinates of all 5 atoms:
As  0.0000  0.0000  0.0000  6 I 2.83
I  0.0000  0.0000  0.5000  2 As 2.83
I  0.0000  0.5000  0.0000  2 As 2.83
I  0.5000  0.0000  0.0000  2 As 2.83
Ta  0.5000  0.5000  0.5000  12 I 4.00

This record from the Alexandria database describes an optimized crystal structure of KBeAlH6. The functional is PBE-GGA.

symmetry	No. 149

a = 4.4022 Å, b = 4.4022 Å, c = 5.7053 Å
α = 90.00°, β = 90.00°, γ = 60.00°
Last column: nearest neighbours and their distance in Å.
Fractional coordinates of all 9 atoms:
H  0.9818  0.6398  0.6656  1 Be 1.63, 1 Al 1.74
H  0.9818  0.3784  0.3344  1 Be 1.63, 1 Al 1.74
H  0.3784  0.9818  0.6656  1 Be 1.63, 1 Al 1.74
H  0.6398  0.9818  0.3344  1 Be 1.63, 1 Al 1.74
H  0.6397  0.3784  0.6656  1 Be 1.63, 1 Al 1.74
H  0.3784  0.6398  0.3344  1 Be 1.63, 1 Al 1.74
Be  0.6667  0.6667  0.5000  6 H 1.63
K  0.0000  0.0000  0.0000  6 H 2.51
Al  0.3333  0.3333  0.5000  6 H 1.74

This record from the Alexandria database describes an optimized crystal structure of AcAg2F5. The functional is PBE-GGA.

raw formation energy	-2493	meV/atom
symmetry	No. 62

a = 5.6793 Å, b = 11.9870 Å, c = 7.6973 Å
α = 90.01°, β = 90.00°, γ = 90.00°
Last column: nearest neighbours and their distance in Å.
Fractional coordinates of all 32 atoms:
F  0.7500  0.5644  0.7500  2 Ac 2.51, 2 Ag 2.67
F  0.2499  0.0644  0.7500  2 Ac 2.51, 2 Ag 2.67
F  0.7500  0.5644  0.2500  2 Ac 2.51, 2 Ag 2.67
F  0.8268  0.1274  0.4998  2 Ag 2.37, 1 Ac 2.40
F  0.8821  0.7500  0.0001  2 Ag 2.36
F  0.7499  0.9356  0.7500  2 Ac 2.51, 2 Ag 2.67
F  0.1732  0.6274  0.5001  2 Ag 2.37, 1 Ac 2.40
F  0.7501  0.9356  0.2500  2 Ac 2.51, 2 Ag 2.67
F  0.3268  0.6274  0.0001  2 Ag 2.37, 1 Ac 2.40
F  0.6732  0.3726  0.9999  2 Ag 2.37, 1 Ac 2.40
F  0.6732  0.1274  0.9998  2 Ag 2.37, 1 Ac 2.40
F  0.2501  0.0644  0.2500  2 Ac 2.51, 2 Ag 2.67
F  0.1179  0.2500  0.9999  2 Ag 2.36
F  0.3268  0.8726  0.0001  2 Ag 2.37, 1 Ac 2.40
F  0.1732  0.8726  0.5002  2 Ag 2.37, 1 Ac 2.40
F  0.2500  0.4356  0.7500  2 Ac 2.51, 2 Ag 2.67
F  0.2500  0.4356  0.2500  2 Ac 2.51, 2 Ag 2.67
F  0.8268  0.3726  0.4999  2 Ag 2.37, 1 Ac 2.40
F  0.6179  0.7500  0.5001  2 Ag 2.36
F  0.3821  0.2500  0.4999  2 Ag 2.36
Ac  0.5000  0.0000  0.5000  6 F 2.40-2.51
Ac  0.5000  0.5000  0.5000  6 F 2.40-2.51
Ac  0.0000  0.5000  0.0000  6 F 2.40-2.51
Ac  0.0000  0.0000  0.0000  6 F 2.40-2.51
Ag  0.0040  0.7500  0.2929  3 F 2.36-2.37
Ag  0.9960  0.2500  0.7071  3 F 2.36-2.37
Ag  0.5040  0.2500  0.2071  3 F 2.36-2.37
Ag  0.9979  0.2500  0.2932  3 F 2.36-2.37
Ag  0.5021  0.2500  0.7932  3 F 2.36-2.37
Ag  0.4979  0.7500  0.2068  3 F 2.36-2.37
Ag  0.0021  0.7500  0.7068  3 F 2.36-2.37
Ag  0.4960  0.7500  0.7929  3 F 2.36-2.37

Table of total energy (eV per atom), in record order: -5.7976 -3.8187 -7.1601 -5.9708 -8.9785 -6.8339 -8.3380 -6.2510 -4.5999 -2.9995 -3.2985 -4.8893